[1]
A relaxed KZn2Mo crystal, computed with PBEsol.

```
data_KZn2Mo
_chemical_formula_sum 'K2 Zn4 Mo2'
_space_group_name_H-M_alt 'C m m m'
_space_group_IT_number 65
_space_group_name_Hall '-C 2 2'
_cell_length_a 3.850
_cell_length_b 3.858
_cell_length_c 9.735
_cell_angle_alpha 90.00
_cell_angle_beta 90.00
_cell_angle_gamma 90.00
loop_
_atom_site_label
_atom_site_type_symbol
_atom_site_fract_x
_atom_site_fract_y
_atom_site_fract_z
K1 K 0.000 0.000 0.000
Zn1 Zn 0.000 0.500 0.294
Mo1 Mo 0.000 0.000 0.500
```

Summary:
Energy relative to the lowest polymorph listed for this composition: 0 meV per atom
Energy of formation from the pure elements: 1.9 eV per formula unit
Total DFT energy (no corrections): -28.415 eV per cell
Volume: 18.1 A^3/atom

[2]
A relaxed Cs2LiAl3F12 crystal, computed with PBEsol.

```
data_Cs2LiAl3F12
_chemical_formula_sum 'Cs6 Li3 Al9 F36'
_space_group_name_H-M_alt 'R -3 m'
_space_group_IT_number 166
_space_group_name_Hall '-R 3 2"'
_cell_length_a 6.9918
_cell_length_b 6.9918
_cell_length_c 17.4006
_cell_angle_alpha 90.00
_cell_angle_beta 90.00
_cell_angle_gamma 120.00
loop_
_atom_site_label
_atom_site_type_symbol
_atom_site_fract_x
_atom_site_fract_y
_atom_site_fract_z
Cs1 Cs 0.0000 0.0000 0.1275
Li1 Li 0.0000 0.0000 0.5000
Al1 Al 0.0000 0.5000 0.0000
F1 F 0.0545 0.5272 0.0994
F2 F 0.0812 0.5406 0.3486
```

Summary:
Total DFT energy (no corrections): -302.165 eV per cell
ΔE_f (raw): -3.4148 eV/atom
Volume: 13.6 A^3/atom